Record 1
Below is crystalline Ca2HfNpN4 at its relaxed geometry, with properties calculated at the PBE level.

The structure in CIF format:
```
data_Ca2HfNpN4
_cell_length_a 5.8413
_cell_length_b 3.3874
_cell_length_c 5.9575
_cell_angle_alpha 90.00
_cell_angle_beta 108.57
_cell_angle_gamma 90.00
_space_group_name_H-M_alt 'P 1 2/m 1'
_space_group_IT_number 10
loop_
_space_group_symop_operation_xyz
'x,y,z'
'-x,-y,-z'
'-x,y,-z'
'x,-y,z'
loop_
_atom_site_label
_atom_site_fract_x
_atom_site_fract_y
_atom_site_fract_z
_atom_site_occupancy
Ca1 0.0000 0.0000 0.0000 1
Ca2 0.5000 0.5000 0.0000 1
Hf1 0.0000 0.5000 0.5000 1
Np1 0.5000 0.0000 0.5000 1
N1 0.2355 0.0000 0.7105 1
N2 0.2534 0.5000 0.2854 1
```

Results
E: -8.893 eV per atom
crystal system: monoclinic
E_form (uncorrected): -1056 kJ/mol of formula units

Record 2
Below is crystalline CaHf2Np3N6 at its relaxed geometry, with properties calculated at the PBE level.

The structure in CIF format:
```
data_CaHf2Np3N6
_cell_length_a 14.7414
_cell_length_b 3.3339
_cell_length_c 6.7800
_cell_angle_alpha 90.00
_cell_angle_beta 103.67
_cell_angle_gamma 90.00
_space_group_name_H-M_alt 'C 1 2/m 1'
_space_group_IT_number 12
loop_
_space_group_symop_operation_xyz
'x,y,z'
'-x,-y,-z'
'-x,y,-z'
'x,-y,z'
'x+1/2,y+1/2,z'
'-x+1/2,-y+1/2,-z'
'-x+1/2,y+1/2,-z'
'x+1/2,-y+1/2,z'
loop_
_atom_site_label
_atom_site_fract_x
_atom_site_fract_y
_atom_site_fract_z
_atom_site_occupancy
Ca1 0.0000 0.0000 0.0000 1
Hf1 0.1690 0.5000 0.3375 1
Np1 0.0000 0.0000 0.5000 1
Np2 0.1656 0.5000 0.8332 1
N1 0.0089 0.5000 0.2709 1
N2 0.1708 0.0000 0.1039 1
N3 0.1711 0.0000 0.5711 1
```

Results
E: -10.565 eV per atom
crystal system: monoclinic
E_form (uncorrected): -1553 kJ/mol of formula units

Record 3
Below is crystalline CaHf8N8O4 at its relaxed geometry, with properties calculated at the PBE level.

The structure in CIF format:
```
data_CaHf8N8O4
_cell_length_a 5.6782
_cell_length_b 5.7849
_cell_length_c 11.1185
_cell_angle_alpha 92.85
_cell_angle_beta 102.25
_cell_angle_gamma 117.57
_space_group_name_H-M_alt 'P 1'
_space_group_IT_number 1
loop_
_space_group_symop_operation_xyz
'x,y,z'
loop_
_atom_site_label
_atom_site_fract_x
_atom_site_fract_y
_atom_site_fract_z
_atom_site_occupancy
Ca1 0.0000 0.0000 0.0000 1
Hf1 0.1539 0.9230 0.6062 1
Hf2 0.2056 0.4547 0.3053 1
Hf3 0.2688 0.6304 0.8703 1
Hf4 0.4745 0.6177 0.5740 1
Hf5 0.5266 0.1297 0.2873 1
Hf6 0.6819 0.3492 0.0060 1
Hf7 0.7834 0.2625 0.5693 1
Hf8 0.8894 0.7849 0.3190 1
N1 0.1299 0.0656 0.2223 1
N2 0.1538 0.5852 0.6710 1
N3 0.2633 0.7896 0.4447 1
N4 0.3570 0.9909 0.9432 1
N5 0.5915 0.4449 0.4284 1
N6 0.6109 0.6154 0.9277 1
N7 0.8004 0.4218 0.2042 1
N8 0.8268 0.9542 0.6432 1
O1 0.4910 0.7518 0.2387 1
O2 0.4920 0.2796 0.6504 1
O3 0.9215 0.1801 0.4159 1
O4 0.9963 0.3655 0.9484 1
```

Results
E: -9.956 eV per atom
distance to the lowest polymorph of the same formula: 2.21 eV per formula unit
crystal system: triclinic
E_form (uncorrected): -3956 kJ/mol of formula units

Record 4
Below is crystalline CaHf8N8O4 at its relaxed geometry, with properties calculated at the PBE level.

The structure in CIF format:
```
data_CaHf8N8O4
_cell_length_a 5.7213
_cell_length_b 5.7707
_cell_length_c 11.1250
_cell_angle_alpha 77.58
_cell_angle_beta 75.46
_cell_angle_gamma 61.16
_space_group_name_H-M_alt 'P 1'
_space_group_IT_number 1
loop_
_space_group_symop_operation_xyz
'x,y,z'
loop_
_atom_site_label
_atom_site_fract_x
_atom_site_fract_y
_atom_site_fract_z
_atom_site_occupancy
Ca1 0.0000 0.0000 0.0000 1
Hf1 0.1316 0.4033 0.7016 1
Hf2 0.2217 0.4769 0.4226 1
Hf3 0.3366 0.3452 0.9969 1
Hf4 0.4546 0.7606 0.7005 1
Hf5 0.5439 0.8426 0.4312 1
Hf6 0.6228 0.6347 0.1343 1
Hf7 0.7730 0.1210 0.6948 1
Hf8 0.8647 0.1997 0.4209 1
N1 0.0871 0.0661 0.7793 1
N2 0.2435 0.1736 0.3496 1
N3 0.3342 0.6259 0.0730 1
N4 0.4215 0.4019 0.7968 1
N5 0.4773 0.1631 0.5622 1
N6 0.5783 0.5346 0.3325 1
N7 0.8432 0.4509 0.5622 1
N8 0.9688 0.3760 0.0446 1
O1 0.2216 0.7523 0.5688 1
O2 0.6029 0.9920 0.0647 1
O3 0.7735 0.7492 0.7576 1
O4 0.9105 0.8502 0.3660 1
```

Results
E: -9.957 eV per atom
distance to the lowest polymorph of the same formula: 2.18 eV per formula unit
crystal system: triclinic
E_form (uncorrected): -3959 kJ/mol of formula units

Record 5
Below is crystalline CaHf8N8O4 at its relaxed geometry, with properties calculated at the PBE level.

The structure in CIF format:
```
data_CaHf8N8O4
_cell_length_a 5.4968
_cell_length_b 5.5161
_cell_length_c 10.6941
_cell_angle_alpha 75.74
_cell_angle_beta 76.63
_cell_angle_gamma 60.27
_space_group_name_H-M_alt 'P 1'
_space_group_IT_number 1
loop_
_space_group_symop_operation_xyz
'x,y,z'
loop_
_atom_site_label
_atom_site_fract_x
_atom_site_fract_y
_atom_site_fract_z
_atom_site_occupancy
Ca1 0.0000 0.0000 0.0000 1
Hf1 0.1083 0.0185 0.7412 1
Hf2 0.1838 0.1425 0.4587 1
Hf3 0.3190 0.3164 0.0378 1
Hf4 0.4420 0.3750 0.7227 1
Hf5 0.5764 0.5250 0.2773 1
Hf6 0.6698 0.6921 0.9621 1
Hf7 0.8053 0.7898 0.5411 1
Hf8 0.9056 0.8635 0.2585 1
N1 0.0753 0.6601 0.8764 1
N2 0.3266 0.6054 0.1265 1
N3 0.3754 0.0550 0.8692 1
N4 0.4353 0.7762 0.6199 1
N5 0.5785 0.1441 0.3820 1
N6 0.6371 0.9058 0.1203 1
N7 0.8181 0.1021 0.6183 1
N8 0.8729 0.5317 0.3806 1
O1 0.1421 0.3925 0.6189 1
O2 0.2018 0.8274 0.3755 1
O3 0.6767 0.3646 0.8766 1
O4 0.9484 0.2917 0.1335 1
```

Results
E: -9.938 eV per atom
distance to the lowest polymorph of the same formula: 2.58 eV per formula unit
crystal system: triclinic
E_form (uncorrected): -3920 kJ/mol of formula units

Record 6
Below is crystalline CaHf8N8O4 at its relaxed geometry, with properties calculated at the PBE level.

The structure in CIF format:
```
data_CaHf8N8O4
_cell_length_a 5.4487
_cell_length_b 5.6000
_cell_length_c 10.3421
_cell_angle_alpha 86.67
_cell_angle_beta 89.64
_cell_angle_gamma 61.51
_space_group_name_H-M_alt 'P 1'
_space_group_IT_number 1
loop_
_space_group_symop_operation_xyz
'x,y,z'
loop_
_atom_site_label
_atom_site_fract_x
_atom_site_fract_y
_atom_site_fract_z
_atom_site_occupancy
Ca1 0.0000 0.0000 0.0000 1
Hf1 0.0271 0.9496 0.3687 1
Hf2 0.3062 0.3269 0.1329 1
Hf3 0.3425 0.3236 0.8402 1
Hf4 0.3503 0.3053 0.4241 1
Hf5 0.6584 0.6909 0.8721 1
Hf6 0.6612 0.6826 0.1750 1
Hf7 0.6948 0.6165 0.5751 1
Hf8 0.9272 0.0052 0.6812 1
N1 0.0150 0.6532 0.2612 1
N2 0.3237 0.6595 0.4938 1
N3 0.3264 0.0305 0.2742 1
N4 0.5400 0.0000 0.0197 1
N5 0.6195 0.4132 0.7394 1
N6 0.6972 0.9929 0.5142 1
N7 0.9468 0.4431 0.0221 1
N8 0.9791 0.6234 0.7405 1
O1 0.0158 0.2722 0.5095 1
O2 0.2356 0.0098 0.7990 1
O3 0.3915 0.5670 0.9922 1
O4 0.6279 0.3391 0.2639 1
```

Results
E: -10.044 eV per atom
distance to the lowest polymorph of the same formula: 0.34 eV per formula unit
crystal system: triclinic
E_form (uncorrected): -4136 kJ/mol of formula units

Record 7
Below is crystalline CaHf8N8O4 at its relaxed geometry, with properties calculated at the PBE level.

The structure in CIF format:
```
data_CaHf8N8O4
_cell_length_a 5.4486
_cell_length_b 5.5877
_cell_length_c 10.2900
_cell_angle_alpha 92.17
_cell_angle_beta 90.26
_cell_angle_gamma 118.90
_space_group_name_H-M_alt 'P 1'
_space_group_IT_number 1
loop_
_space_group_symop_operation_xyz
'x,y,z'
loop_
_atom_site_label
_atom_site_fract_x
_atom_site_fract_y
_atom_site_fract_z
_atom_site_occupancy
Ca1 0.0000 0.0000 0.0000 1
Hf1 0.2831 0.6081 0.4153 1
Hf2 0.3022 0.6494 0.8266 1
Hf3 0.3516 0.6860 0.1256 1
Hf4 0.6267 0.2979 0.8594 1
Hf5 0.6505 0.3323 0.5653 1
Hf6 0.6520 0.3157 0.1542 1
Hf7 0.9353 0.9916 0.3232 1
Hf8 0.9898 0.9886 0.6317 1
N1 0.0170 0.3946 0.2525 1
N2 0.2530 0.2646 0.4910 1
N3 0.3141 0.9998 0.7334 1
N4 0.4102 0.4399 0.9809 1
N5 0.5528 0.9958 0.9802 1
N6 0.5916 0.6110 0.2606 1
N7 0.9418 0.3242 0.7252 1
N8 0.9523 0.6778 0.4867 1
O1 0.2334 0.9954 0.1988 1
O2 0.6266 0.6304 0.7215 1
O3 0.6477 0.9917 0.4783 1
O4 0.9840 0.5755 0.9833 1
```

Results
E: -10.041 eV per atom
distance to the lowest polymorph of the same formula: 0.41 eV per formula unit
crystal system: triclinic
E_form (uncorrected): -4130 kJ/mol of formula units

Record 8
Below is crystalline CaHf8N8O4 at its relaxed geometry, with properties calculated at the PBE level.

The structure in CIF format:
```
data_CaHf8N8O4
_cell_length_a 5.4630
_cell_length_b 5.5407
_cell_length_c 10.6999
_cell_angle_alpha 89.11
_cell_angle_beta 75.35
_cell_angle_gamma 60.80
_space_group_name_H-M_alt 'P 1'
_space_group_IT_number 1
loop_
_space_group_symop_operation_xyz
'x,y,z'
loop_
_atom_site_label
_atom_site_fract_x
_atom_site_fract_y
_atom_site_fract_z
_atom_site_occupancy
Ca1 0.0000 0.0000 0.0000 1
Hf1 0.2019 0.3819 0.2734 1
Hf2 0.2034 0.8862 0.7395 1
Hf3 0.3720 0.3275 0.9600 1
Hf4 0.3898 0.7901 0.4564 1
Hf5 0.6495 0.6754 0.0381 1
Hf6 0.6627 0.1884 0.5423 1
Hf7 0.8573 0.0459 0.2607 1
Hf8 0.8993 0.5201 0.7211 1
N1 0.0555 0.6243 0.8744 1
N2 0.0727 0.1063 0.3813 1
N3 0.2605 0.6553 0.1192 1
N4 0.2749 0.1651 0.6196 1
N5 0.4675 0.3962 0.3807 1
N6 0.5588 0.0508 0.1293 1
N7 0.5837 0.5620 0.6186 1
N8 0.7584 0.3084 0.8649 1
O1 0.4421 0.9323 0.8813 1
O2 0.7867 0.7640 0.3695 1
O3 0.9366 0.3629 0.1282 1
O4 0.9755 0.8418 0.6171 1
```

Results
E: -9.941 eV per atom
distance to the lowest polymorph of the same formula: 2.52 eV per formula unit
crystal system: triclinic
E_form (uncorrected): -3926 kJ/mol of formula units

Record 9
Below is crystalline CaHf8N8O4 at its relaxed geometry, with properties calculated at the PBE level.

The structure in CIF format:
```
data_CaHf8N8O4
_cell_length_a 5.4511
_cell_length_b 5.6155
_cell_length_c 10.3082
_cell_angle_alpha 85.57
_cell_angle_beta 88.13
_cell_angle_gamma 60.98
_space_group_name_H-M_alt 'P 1'
_space_group_IT_number 1
loop_
_space_group_symop_operation_xyz
'x,y,z'
loop_
_atom_site_label
_atom_site_fract_x
_atom_site_fract_y
_atom_site_fract_z
_atom_site_occupancy
Ca1 0.0000 0.0000 0.0000 1
Hf1 0.0189 0.0248 0.6363 1
Hf2 0.0784 0.9888 0.3231 1
Hf3 0.3393 0.3812 0.4250 1
Hf4 0.3461 0.3185 0.1302 1
Hf5 0.3574 0.2981 0.8269 1
Hf6 0.6771 0.7080 0.1627 1
Hf7 0.6852 0.6638 0.8687 1
Hf8 0.6937 0.6989 0.5754 1
N1 0.0006 0.5535 0.0024 1
N2 0.0139 0.7360 0.4872 1
N3 0.3258 0.0145 0.4893 1
N4 0.3881 0.6016 0.2560 1
N5 0.4417 0.9888 0.9837 1
N6 0.6761 0.9730 0.7242 1
N7 0.7493 0.0178 0.2122 1
N8 0.9834 0.3526 0.7390 1
O1 0.0342 0.3854 0.2773 1
O2 0.3477 0.6789 0.7378 1
O3 0.5689 0.3971 0.9680 1
O4 0.6977 0.3457 0.5082 1
```

Results
E: -10.061 eV per atom
distance to the lowest polymorph of the same formula: 0.00 eV per formula unit
crystal system: triclinic
E_form (uncorrected): -4169 kJ/mol of formula units

Record 10
Below is crystalline CaHfOsN2 at its relaxed geometry, with properties calculated at the PBE level.

The structure in CIF format:
```
data_CaHfOsN2
_cell_length_a 4.1400
_cell_length_b 4.1400
_cell_length_c 6.4524
_cell_angle_alpha 90.00
_cell_angle_beta 90.00
_cell_angle_gamma 90.00
_space_group_name_H-M_alt 'P 4/m m m'
_space_group_IT_number 123
_space_group_name_Hall '-P 4 2'
loop_
_atom_site_label
_atom_site_fract_x
_atom_site_fract_y
_atom_site_fract_z
_atom_site_occupancy
Ca1 0.0000 0.0000 0.0000 1
Hf1 0.0000 0.0000 0.5000 1
Os1 0.5000 0.5000 0.5000 1
N1 0.0000 0.5000 0.0000 1
```

Results
E: -5.626 eV per atom
crystal system: tetragonal
E_form (uncorrected): 1130 kJ/mol of formula units

Record 11
Below is crystalline CaHf2PaN4 at its relaxed geometry, with properties calculated at the PBE level.

The structure in CIF format:
```
data_CaHf2PaN4
_cell_length_a 6.6612
_cell_length_b 6.7222
_cell_length_c 9.4054
_cell_angle_alpha 90.00
_cell_angle_beta 90.00
_cell_angle_gamma 90.00
_space_group_name_H-M_alt 'I m m a'
_space_group_IT_number 74
_space_group_name_Hall '-I 2b 2'
loop_
_atom_site_label
_atom_site_fract_x
_atom_site_fract_y
_atom_site_fract_z
_atom_site_occupancy
Ca1 0.2500 0.2500 0.2500 1
Hf1 0.0000 0.0000 0.0000 1
Hf2 0.2500 0.2500 0.7500 1
Pa1 0.0000 0.0000 0.5000 1
N1 0.0000 0.0207 0.7532 1
N2 0.2359 0.2500 0.9913 1
```

Results
E: -9.717 eV per atom
crystal system: orthorhombic
E_form (uncorrected): -1257 kJ/mol of formula units

Record 12
Below is crystalline CaHf4PaN8 at its relaxed geometry, with properties calculated at the PBE level.

The structure in CIF format:
```
data_CaHf4PaN8
_cell_length_a 6.5224
_cell_length_b 6.5224
_cell_length_c 16.5960
_cell_angle_alpha 90.00
_cell_angle_beta 90.00
_cell_angle_gamma 120.00
_space_group_name_H-M_alt 'R 3 m'
_space_group_IT_number 160
_space_group_name_Hall 'R 3 -2"'
loop_
_atom_site_label
_atom_site_fract_x
_atom_site_fract_y
_atom_site_fract_z
_atom_site_occupancy
Ca1 0.0000 0.0000 0.0000 1
Hf1 0.0000 0.0000 0.7500 1
Hf2 0.0092 0.5046 0.8749 1
Pa1 0.0000 0.0000 0.3724 1
N1 0.0000 0.0000 0.1415 1
N2 0.0000 0.0000 0.6194 1
N3 0.0147 0.5073 0.1287 1
N4 0.1899 0.3799 0.9495 1
```

Results
E: -9.880 eV per atom
crystal system: trigonal
E_form (uncorrected): -1969 kJ/mol of formula units